Record 1
The following is a PBE calculation of crystalline CrCdTc at its relaxed geometry, from Alexandria via LeMat-Bulk.

Cell lengths 7.2115, 7.0053, 2.7468 Å; angles 83.12, 74.67, 22.22 degrees
Last column: nearest neighbours and their distance in Å.
Fractional coordinates of all 3 atoms:
Tc: 0.3151 0.3151 0.6849  2 Cr 2.37
Cr: 0.6819 0.6819 0.3181  2 Tc 2.37
Cd: 0.0030 0.0030 0.9970  6 Cd 2.75-3.04, 2 Cr 2.88, 2 Tc 2.99

Polymorph energy (0 for the lowest one): 0.1212 eV per atom
Calculated formation energy: 0.390 eV per atom
Density: 9.16 Mg/m³
Space group: No. 42



Record 2
The following is a PBE calculation of crystalline In2SbW at its relaxed geometry, from Alexandria via LeMat-Bulk.

Cell lengths 5.6353, 5.6353, 4.8203 Å; angles 85.68, 85.68, 34.43 degrees
Last column: nearest neighbours and their distance in Å.
Fractional coordinates of all 4 atoms:
Sb: 0.7500 0.7500 0.7500  4 W 2.93, 2 In 2.98
In: 0.9921 0.9921 0.0088  4 In 2.88-3.00, 1 Sb 2.98, 1 W 3.09
In: 0.5079 0.5079 0.4912  4 In 2.88-3.00, 1 Sb 2.98, 1 W 3.09
W: 0.2500 0.2500 0.2500  4 Sb 2.93, 6 In 3.09-3.23

E_form (uncorrected): 676 meV/atom
Density: 10.30 Mg/m³
Space group: No. 12



| no. | raw total energy (eV/cell) |
| --- | --- |
| 1 | -19.7 |
| 2 | -19.8 |